Below is an optimized crystal structure of Na2MnAgO4, with properties calculated at the PBE+U level.

Calculated values
* space-group type: P2/m, No. 10
* total magnetic moment: 2.02 μB/cell
* ρ: 4.67 g cm⁻³
* total energy: -41.9 eV/cell

abc: 3.0138 6.1942 5.8755
angles: 117.87 90.00 90.00
Closest atoms and distances in Å follow each position.
Fractional positions:
O 0.5000 0.2871 0.1622  1 Mn 1.96, 2 Ag 2.18
Na 0.0000 0.5000 0.5000  6 O 2.35-2.37
Mn 0.5000 0.5000 0.0000  6 O 1.96-1.99
Ag 0.0000 0.0000 0.0000  4 O 2.18
O 0.5000 0.7129 0.8378  1 Mn 1.96, 2 Ag 2.18
O 0.0000 0.6876 0.2283  2 Mn 1.99
O 0.0000 0.3124 0.7717  2 Mn 1.99
Na 0.5000 0.0000 0.5000  4 O 2.38